A geometry-optimized MnHgPCl2 structure, computed with PBE.

Properties
Space group: No. 123
E_form (uncorrected): -0.10 eV/atom
E above lowest polymorph: 0.0000 eV per atom

a = 4.843 Å, b = 4.843 Å, c = 4.818 Å
α = 90.00°, β = 90.00°, γ = 90.00°
Positions (direct):
P: 0.000 0.000 0.500
Mn: 0.000 0.000 0.000
Hg: 0.500 0.500 0.500
Cl: 0.000 0.500 0.000
Cl: 0.500 0.000 0.000


A geometry-optimized MnHgPbCl4 structure, computed with PBE.

Properties
Space group: No. 12
E_form (uncorrected): -0.91 eV/atom

a = 8.124 Å, b = 8.124 Å, c = 8.593 Å
α = 74.30°, β = 74.30°, γ = 68.07°
Positions (direct):
Mn: 0.651 0.651 0.702
Mn: 0.349 0.349 0.298
Hg: 0.033 0.033 0.194
Hg: 0.967 0.967 0.806
Pb: 0.265 0.265 0.887
Pb: 0.735 0.735 0.113
Cl: 0.230 0.230 0.563
Cl: 0.770 0.770 0.437
Cl: 0.128 0.514 0.128
Cl: 0.524 0.524 0.291
Cl: 0.486 0.872 0.872
Cl: 0.514 0.128 0.128
Cl: 0.476 0.476 0.709
Cl: 0.872 0.486 0.872


Repeat the first record exactly.
A geometry-optimized MnHgPCl2 structure, computed with PBE.

Properties
Space group: No. 123
E_form (uncorrected): -0.10 eV/atom
E above lowest polymorph: 0.0000 eV per atom

a = 4.843 Å, b = 4.843 Å, c = 4.818 Å
α = 90.00°, β = 90.00°, γ = 90.00°
Positions (direct):
P: 0.000 0.000 0.500
Mn: 0.000 0.000 0.000
Hg: 0.500 0.500 0.500
Cl: 0.000 0.500 0.000
Cl: 0.500 0.000 0.000


What did the second record say?
A geometry-optimized MnHgPbCl4 structure, computed with PBE.

Properties
Space group: No. 12
E_form (uncorrected): -0.91 eV/atom

a = 8.124 Å, b = 8.124 Å, c = 8.593 Å
α = 74.30°, β = 74.30°, γ = 68.07°
Positions (direct):
Mn: 0.651 0.651 0.702
Mn: 0.349 0.349 0.298
Hg: 0.033 0.033 0.194
Hg: 0.967 0.967 0.806
Pb: 0.265 0.265 0.887
Pb: 0.735 0.735 0.113
Cl: 0.230 0.230 0.563
Cl: 0.770 0.770 0.437
Cl: 0.128 0.514 0.128
Cl: 0.524 0.524 0.291
Cl: 0.486 0.872 0.872
Cl: 0.514 0.128 0.128
Cl: 0.476 0.476 0.709
Cl: 0.872 0.486 0.872